Record 1
PBE-GGA GaPtN2F, relaxed; formation energy without anion corrections = 0.4776 eV/atom; energy relative to the lowest polymorph listed for this composition = 0 meV per atom; N(E_F) = 3.05 states/eV/cell; space-group type = No. 123
1.0
3.728 0.000 0.000
0.000 3.728 0.000
0.000 0.000 6.800
Ga Pt N F
1 1 2 1
Cartesian
0.000 0.000 0.000
1.864 1.864 3.400
0.000 1.864 3.400
1.864 0.000 3.400
1.864 1.864 0.000


Record 2
PBE-GGA Fe2Ir, relaxed; N(E_F) = 8.27 states/eV/cell; space-group type = No. 63; energy of formation from the pure elements = 0.0183 eV/atom
1.0
1.825 -5.561 0.000
1.825 5.561 0.000
0.000 0.000 3.684
Fe Ir
4 2
Cartesian
1.825 4.630 2.763
1.825 2.796 0.921
1.825 -2.796 2.763
1.825 -4.630 0.921
1.825 0.964 2.763
1.825 -0.964 0.921


What are the DFT total energy values for these records? In order: -5.04, -8.58 eV per atom.